Sc6Tc7 | PBE-GGA | relaxed

## Properties
* Fermi-level density of states: 14.22 states/eV/f.u.
* final energy: -113.39 eV per formula unit
* space-group type: R-3m

Geometry as extended XYZ:
```
13
Lattice="10.263 0.009 0.005 8.922 5.073 0.005 8.922 2.363 4.489" Properties=species:S:1:pos:R:3 pbc="T T T"
Sc 26.714 7.075 4.276
Sc 1.393 0.369 0.223
Sc 23.877 6.324 3.822
Sc 4.230 1.120 0.677
Sc 18.720 4.958 2.997
Sc 9.386 2.486 1.502
Tc 16.607 3.024 1.828
Tc 15.927 4.218 4.102
Tc 15.927 5.593 1.828
Tc 11.500 4.420 2.671
Tc 12.180 1.851 2.671
Tc 12.180 3.226 0.397
Tc 14.053 3.722 2.249
```

Sc5Tc24 | PBE-GGA | relaxed

## Properties
* Fermi-level density of states: 27.78 states/eV/f.u.
* final energy: -285.77 eV per formula unit
* space-group type: I-43m

Geometry as extended XYZ:
```
29
Lattice="8.388 0.000 0.000 -2.796 7.908 0.000 -2.796 -3.954 6.848" Properties=species:S:1:pos:R:3 pbc="T T T"
Sc -1.751 4.952 0.000
Sc 5.252 0.000 0.000
Sc -1.751 -2.476 4.288
Sc 1.045 1.478 2.560
Sc 0.000 0.000 0.000
Tc 0.564 2.963 0.000
Tc 2.605 1.520 0.000
Tc 4.007 5.667 1.250
Tc 1.211 1.713 5.599
Tc 4.007 -1.751 5.532
Tc 1.211 3.992 4.283
Tc 2.605 -0.760 1.316
Tc 0.564 -1.481 2.566
Tc -1.585 2.203 1.316
Tc -1.585 0.038 2.566
Tc 3.360 2.473 4.283
Tc -2.986 3.194 5.532
Tc 4.547 3.120 0.000
Tc 1.426 5.327 0.000
Tc -0.190 -0.269 4.937
Tc 2.605 3.685 1.911
Tc -0.190 4.410 2.235
Tc 2.605 -0.187 4.147
Tc 1.426 -2.663 4.613
Tc 4.547 -1.560 2.702
Tc -2.986 0.456 4.613
Tc -2.986 3.767 2.702
Tc -1.045 2.394 4.147
Tc 4.221 1.291 2.235
```

ScTc3 | PBE-GGA | relaxed

## Properties
* ΔE to the lowest computed polymorph: 0.180 eV/atom
* Fermi-level density of states: 5.03 states/eV/f.u.
* space-group type: Pmmn

Geometry as extended XYZ:
```
8
Lattice="-2.219 -3.961 -0.582 4.514 -2.311 -1.477 0.989 -1.296 5.051" Properties=species:S:1:pos:R:3 pbc="T T T"
Sc 0.377 -0.494 1.924
Sc 1.760 -3.939 2.098
Tc -0.452 -2.842 3.065
Tc 2.088 -1.757 3.996
Tc 0.048 -2.676 0.026
Tc 2.589 -1.590 0.957
Tc 4.147 -2.811 3.322
Tc 2.502 -3.932 -0.777
```

ScTc | PBE-GGA | relaxed

## Properties
* Fermi-level density of states: 2.26 states/eV/f.u.
* final energy: -16.49 eV per formula unit
* space-group type: R-3m

Geometry as extended XYZ:
```
2
Lattice="-2.154 -1.566 3.677 -4.002 -1.786 1.184 -1.733 -3.868 1.627" Properties=species:S:1:pos:R:3 pbc="T T T"
Sc 0.000 0.000 0.000
Tc -3.944 -3.610 3.244
```

ScTc | PBE-GGA | relaxed

## Properties
* Fermi-level density of states: 2.51 states/eV/f.u.
* final energy: -16.33 eV per formula unit
* space-group type: Cmcm

Geometry as extended XYZ:
```
4
Lattice="-1.635 0.904 -2.441 2.115 -4.640 -1.199 -3.737 -2.145 1.708" Properties=species:S:1:pos:R:3 pbc="T T T"
Sc 0.073 -3.786 -1.451
Sc -3.330 -2.095 -0.482
Tc -0.621 -1.546 -0.157
Tc -2.636 -4.334 -1.776
```

ScTc | PBE-GGA | relaxed

## Properties
* Fermi-level density of states: 2.44 states/eV/f.u.
* final energy: -16.23 eV per formula unit
* space-group type: P6_3/mmc

Geometry as extended XYZ:
```
8
Lattice="-1.699 3.320 -2.926 -2.855 -2.031 3.193 1.817 5.371 5.039" Properties=species:S:1:pos:R:3 pbc="T T T"
Sc 0.454 1.343 1.260
Sc 1.363 4.028 3.780
Sc -1.107 3.781 4.933
Sc -1.630 2.879 0.374
Tc -2.301 0.249 1.619
Tc -1.008 4.718 2.099
Tc -0.435 6.411 3.687
Tc -1.729 1.942 3.207
```

ScTc | PBE-GGA | relaxed

## Properties
* Fermi-level density of states: 2.89 states/eV/f.u.
* final energy: -16.43 eV per formula unit
* space-group type: P-6m2

Geometry as extended XYZ:
```
2
Lattice="3.093 0.000 0.000 -1.547 2.679 0.000 0.000 0.000 4.248" Properties=species:S:1:pos:R:3 pbc="T T T"
Sc 0.000 0.000 0.000
Tc 0.000 1.786 2.124
```

ScTc | PBE-GGA | relaxed

## Properties
* Fermi-level density of states: 2.59 states/eV/f.u.
* final energy: -15.24 eV per formula unit
* space-group type: Fm-3m

Geometry as extended XYZ:
```
2
Lattice="3.777 0.000 0.000 1.888 3.271 0.000 1.888 1.090 3.084" Properties=species:S:1:pos:R:3 pbc="T T T"
Sc 0.000 0.000 0.000
Tc 3.777 2.181 1.542
```